# HfZrCS, relaxed, DFT PBE
data_HfZrCS
_chemical_formula_sum 'Hf3 Zr3 C3 S3'
_symmetry_space_group_name_H-M 'R 3 m'
_symmetry_Int_Tables_number 160
_symmetry_space_group_name_Hall 'R 3 -2"'
_cell_length_a 3.3927
_cell_length_b 3.3927
_cell_length_c 18.3892
_cell_angle_alpha 90.00
_cell_angle_beta 90.00
_cell_angle_gamma 120.00
loop_
_atom_site_label
_atom_site_type_symbol
_atom_site_fract_x
_atom_site_fract_y
_atom_site_fract_z
_atom_site_occupancy
Hf1 Hf 0.0000 0.0000 0.0000 1
Zr1 Zr 0.0000 0.0000 0.1984 1
C1 C 0.0000 0.0000 0.6051 1
S1 S 0.0000 0.0000 0.4313 1
# magnetic moment: 0.00 μB per formula unit
# formation energy from raw total energies: -128.8 kJ/mol of atoms